(1)
# ZnCdBr2 (GGA-PBE, relaxed)
# **Polymorph energy (0 for the lowest one)**: 310 meV per atom
# **Formation energy from raw total energies**: -0.18 eV per atom
# **M_tot**: 0.0 μB per cell
# **Crystal system**: tetragonal
# **Mass density**: 4.65 g cm⁻³
data_ZnCdBr2
_chemical_formula_sum 'Zn2 Cd2 Br4'
_cell_length_a 4.076
_cell_length_b 4.076
_cell_length_c 14.522
_cell_angle_alpha 90.00
_cell_angle_beta 90.00
_cell_angle_gamma 90.00
_space_group_name_H-M_alt 'I -4 m 2'
_space_group_IT_number 119
_space_group_name_Hall 'I -4 -2'
loop_
_atom_site_label
_atom_site_type_symbol
_atom_site_fract_x
_atom_site_fract_y
_atom_site_fract_z
_atom_site_occupancy
Zn1 Zn 0.000 0.000 0.000 1
Cd1 Cd 0.000 0.500 0.250 1
Br1 Br 0.000 0.000 0.500 1
Br2 Br 0.000 0.500 0.750 1

=====

(2)
# CaPuO4 (GGA-PBE, relaxed)
# **Formation energy from raw total energies**: -2.81 eV per atom
# **M_tot**: 4.0 μB per cell
# **Crystal system**: monoclinic
# **Mass density**: 6.40 g cm⁻³
data_CaPuO4
_chemical_formula_sum 'Ca2 Pu2 O8'
_cell_length_a 6.001
_cell_length_b 5.258
_cell_length_c 6.111
_cell_angle_alpha 90.00
_cell_angle_beta 110.39
_cell_angle_gamma 90.00
_space_group_name_H-M_alt 'P 1 21/c 1'
_space_group_IT_number 14
_space_group_name_Hall '-P 2ybc'
loop_
_atom_site_label
_atom_site_type_symbol
_atom_site_fract_x
_atom_site_fract_y
_atom_site_fract_z
_atom_site_occupancy
Ca1 Ca 0.000 0.000 0.000 1
Pu1 Pu 0.500 0.000 0.500 1
O1 O 0.193 0.162 0.386 1
O2 O 0.362 0.719 0.690 1

=====

(3)
# RbPb12Au4 (GGA-PBE, relaxed)
# **M_tot**: 0.0 μB per cell
# **Crystal system**: cubic
# **Mass density**: 10.47 g cm⁻³
# **ΔH_f (0 K)**: 14 meV per atom
data_RbPb12Au4
_chemical_formula_sum 'Rb2 Pb24 Au8'
_cell_length_a 10.215
_cell_length_b 10.215
_cell_length_c 10.215
_cell_angle_alpha 90.00
_cell_angle_beta 90.00
_cell_angle_gamma 90.00
_space_group_name_H-M_alt 'I m -3'
_space_group_IT_number 204
_space_group_name_Hall '-I 2 2 3'
loop_
_atom_site_label
_atom_site_type_symbol
_atom_site_fract_x
_atom_site_fract_y
_atom_site_fract_z
_atom_site_occupancy
Rb1 Rb 0.000 0.000 0.000 1
Pb1 Pb 0.000 0.348 0.158 1
Au1 Au 0.250 0.250 0.250 1

=====

(4)
# TaNbAu (GGA-PBE, relaxed)
# **Polymorph energy (0 for the lowest one)**: 0 meV per atom
# **M_tot**: 0.0 μB per cell
# **Crystal system**: monoclinic
# **Mass density**: 14.48 g cm⁻³
# **ΔH_f (0 K)**: -104 meV per atom
data_TaNbAu
_chemical_formula_sum 'Ta2 Nb2 Au2'
_cell_length_a 2.832
_cell_length_b 4.791
_cell_length_c 7.982
_cell_angle_alpha 90.00
_cell_angle_beta 94.52
_cell_angle_gamma 90.00
_space_group_name_H-M_alt 'P 1 21/m 1'
_space_group_IT_number 11
_space_group_name_Hall '-P 2yb'
loop_
_atom_site_label
_atom_site_type_symbol
_atom_site_fract_x
_atom_site_fract_y
_atom_site_fract_z
_atom_site_occupancy
Ta1 Ta 0.189 0.250 0.068 1
Nb1 Nb 0.490 0.750 0.263 1
Au1 Au 0.070 0.750 0.598 1

=====

(5)
# AcHoAu (GGA-PBE, relaxed)
# **Polymorph energy (0 for the lowest one)**: 0 meV per atom
# **M_tot**: 0.0 μB per cell
# **Crystal system**: tetragonal
# **Mass density**: 10.43 g cm⁻³
# **ΔH_f (0 K)**: -594 meV per atom
data_AcHoAu
_chemical_formula_sum 'Ac2 Ho2 Au2'
_cell_length_a 4.984
_cell_length_b 4.984
_cell_length_c 7.546
_cell_angle_alpha 90.00
_cell_angle_beta 90.00
_cell_angle_gamma 90.00
_space_group_name_H-M_alt 'P 4/n m m'
_space_group_IT_number 129
loop_
_space_group_symop_operation_xyz
'x,y,z'
'-x,-y,-z'
'-y+1/2,x,z'
'y+1/2,-x,-z'
'-x+1/2,-y+1/2,z'
'x+1/2,y+1/2,-z'
'y,-x+1/2,z'
'-y,x+1/2,-z'
'x+1/2,-y,-z'
'-x+1/2,y,z'
'-y,-x,-z'
'y,x,z'
'-x,y+1/2,-z'
'x,-y+1/2,z'
'y+1/2,x+1/2,-z'
'-y+1/2,-x+1/2,z'
loop_
_atom_site_label
_atom_site_type_symbol
_atom_site_fract_x
_atom_site_fract_y
_atom_site_fract_z
_atom_site_occupancy
Ac1 Ac 0.250 0.250 0.122 1
Ho1 Ho 0.250 0.750 0.500 1
Au1 Au 0.250 0.250 0.709 1

=====

(6)
# Pm2Nd2Co2Cl (GGA-PBE, relaxed)
# **Formation energy from raw total energies**: -0.46 eV per atom
# **M_tot**: 0.0 μB per cell
# **Crystal system**: monoclinic
# **Mass density**: 6.39 g cm⁻³
data_Pm2Nd2Co2Cl
_chemical_formula_sum 'Pm4 Nd4 Co4 Cl2'
_cell_length_a 13.726
_cell_length_b 3.752
_cell_length_c 8.554
_cell_angle_alpha 90.00
_cell_angle_beta 120.27
_cell_angle_gamma 90.00
_space_group_name_H-M_alt 'C 1 2/m 1'
_space_group_IT_number 12
_space_group_name_Hall '-C 2y'
loop_
_atom_site_label
_atom_site_type_symbol
_atom_site_fract_x
_atom_site_fract_y
_atom_site_fract_z
_atom_site_occupancy
Pm1 Pm 0.234 0.000 0.313 1
Nd1 Nd 0.026 0.500 0.731 1
Co1 Co 0.098 0.000 0.518 1
Cl1 Cl 0.000 0.000 0.000 1

=====

DOS at the Fermi energy / states/eV/atom: 0.41 0.51 0.75 0.87 0.94 0.93